An optimized crystal structure of LiFe2AsO6, computed with PBE+U.

a b c (Å): 4.961 4.975 5.433
angles (deg): 62.79 89.98 60.09
Space group P1 (No. 1)
Unique sites:
Li 0.000 0.000 0.000
Fe 0.211 0.573 0.640
Fe 0.728 0.542 0.186
As 0.530 0.940 0.592
O 0.152 0.055 0.385
O 0.339 0.069 0.851
O 0.438 0.408 0.386
O 0.594 0.486 0.849
O 0.796 0.765 0.387
O 0.921 0.745 0.848

Summary:
electronic total energy	-6.112	eV/atom
density of states at the Fermi level	0.00	states/eV/cell
M_tot	6.03	μB per cell